Material: V2OF4
Method: DFT, GGA+U
State: optimized geometry

Output
As for the space group: C2/c. For the uncorrected energy, the calculation gives -0.23875 hartree per atom.

```
V2OF4
1.0
2.459 6.417 0.059
-2.459 6.417 0.059
0.000 1.331 5.536
F O V
8 2 4
Direct
0.125 0.279 0.872
0.306 0.467 0.454
0.721 0.875 0.628
0.279 0.125 0.372
0.467 0.306 0.954
0.875 0.721 0.128
0.533 0.694 0.046
0.694 0.533 0.546
0.125 0.875 0.750
0.875 0.125 0.250
0.382 0.890 0.719
0.110 0.618 0.781
0.890 0.382 0.219
0.618 0.110 0.281
```